No. 1
Below is In2I2Cl after structural relaxation, with properties calculated at the GGA-PBE level.

Lattice parameters (Å, degrees): 7.1425 7.1425 7.1425 130.54 130.54 72.55
Last column: nearest neighbours and their distance in Å.
Element x y z (fractional)
1 In 0.2500 0.7500 0.5000  4 I 3.15
2 In 0.7500 0.2500 0.5000  4 I 3.15
3 I 0.1632 0.1632 0.0000  4 In 3.15
4 I 0.8368 0.8368 0.0000  4 In 3.15
5 Cl 0.5000 0.5000 0.0000  2 I 3.88, 8 In 4.15

Calculated values
E above lowest polymorph	19.6	kJ/mol of atoms
formation energy (no corrections)	-0.2931	eV per atom

***

No. 2
Below is In4I2Cl5 after structural relaxation, with properties calculated at the GGA-PBE level.

Lattice parameters (Å, degrees): 7.1256 7.4904 9.6498 111.20 111.01 91.97
Last column: nearest neighbours and their distance in Å.
Element x y z (fractional)
1 In 0.0288 0.3552 0.2240  3 Cl 2.57-2.58, 1 In 2.87
2 In 0.3138 0.8150 0.0837  2 Cl 2.58-2.61, 1 I 2.79, 1 In 2.87
3 In 0.6862 0.1850 0.9163  2 Cl 2.58-2.61, 1 I 2.79, 1 In 2.87
4 In 0.9712 0.6448 0.7760  3 Cl 2.57-2.58, 1 In 2.87
5 I 0.2683 0.1480 0.8502  1 In 2.79
6 I 0.7317 0.8520 0.1498  1 In 2.79
7 Cl 0.0000 0.5000 0.5000  2 In 2.58
8 Cl 0.2849 0.6394 0.2664  2 In 2.57-2.61
9 Cl 0.2961 0.1433 0.2896  2 In 2.57-2.58
10 Cl 0.7039 0.8567 0.7104  2 In 2.57-2.58
11 Cl 0.7151 0.3606 0.7336  2 In 2.57-2.61

Calculated values
formation energy (no corrections)	-0.7672	eV per atom

***

Question: Look up the formation energy (no corrections) of the second one.
Answer: -0.7672 eV per atom

***

Question: The highest formation energy (no corrections) belongs to which entry?
Answer: In2I2Cl

***

Question: Number 1 is which compound?
Answer: In2I2Cl